## Li6Pm (GGA-PBE)

Data for an optimized crystal structure of Li6Pm.

## Properties
DOS(E_F) = 14.093 states/eV per cell
formation enthalpy at 0 K = 0.3549 eV/atom
calculated volume = 23.337 Å³ per atom

Lattice parameters (Å, degrees): 6.8874 6.8874 6.8874 90.00 90.00 90.00
Space group Im-3m (No. 229)
Inequivalent atoms, fractional coordinates:
Li 0.0000 0.2500 0.5000 (multiplicity 12)
Pm 0.0000 0.0000 0.0000 (multiplicity 2)



## LaRuW2Br (GGA-PBE)

Data for an optimized crystal structure of LaRuW2Br.

## Properties
DOS(E_F) = 7.815 states/eV per cell
calculated volume = 22.958 Å³ per atom

Lattice parameters (Å, degrees): 4.5906 4.5906 5.4470 90.00 90.00 90.00
Space group P4/mmm (No. 123)
Inequivalent atoms, fractional coordinates:
La 0.0000 0.0000 0.0000 (multiplicity 1)
Ru 0.5000 0.5000 0.0000 (multiplicity 1)
W 0.0000 0.5000 0.5000 (multiplicity 2)
Br 0.0000 0.0000 0.5000 (multiplicity 1)



## SrAgHgPd (GGA-PBE)

Data for an optimized crystal structure of SrAgHgPd.

## Properties
DOS(E_F) = 3.388 states/eV per cell
distance to the lowest polymorph of the same formula = 0 meV per atom
formation enthalpy at 0 K = -0.3706 eV/atom
calculated volume = 25.275 Å³ per atom

Lattice parameters (Å, degrees): 8.3146 4.8003 5.7644 90.00 118.50 90.00
Space group Cm (No. 8)
Inequivalent atoms, fractional coordinates:
Sr 0.0000 0.0000 0.0000 (multiplicity 2)
Ag 0.2944 0.5000 0.3825 (multiplicity 2)
Hg 0.0176 0.5000 0.5529 (multiplicity 2)
Pd 0.2008 0.0000 0.6025 (multiplicity 2)



## Ce2NdMg (GGA-PBE)

Data for an optimized crystal structure of Ce2NdMg.

## Properties
DOS(E_F) = 29.501 states/eV per cell
distance to the lowest polymorph of the same formula = 32 meV per atom
formation enthalpy at 0 K = 0.1326 eV/atom
calculated volume = 29.186 Å³ per atom

Lattice parameters (Å, degrees): 3.3848 3.3848 35.2980 90.00 90.00 120.00
Space group R3m (No. 160, hexagonal axes)
Inequivalent atoms, fractional coordinates:
Ce 0.0000 0.0000 0.0000 (multiplicity 3)
Ce 0.0000 0.0000 0.1732 (multiplicity 3)
Nd 0.0000 0.0000 0.7530 (multiplicity 3)
Mg 0.0000 0.0000 0.5867 (multiplicity 3)



## ThMgPt (GGA-PBE)

Data for an optimized crystal structure of ThMgPt.

## Properties
DOS(E_F) = 9.034 states/eV per cell
formation enthalpy at 0 K = -0.8059 eV/atom
calculated volume = 23.479 Å³ per atom

Lattice parameters (Å, degrees): 10.3703 4.4415 7.2350 90.00 122.28 90.00
Space group C2/m (No. 12)
Inequivalent atoms, fractional coordinates:
Th 0.0687 0.0000 0.3318 (multiplicity 4)
Mg 0.1821 0.5000 0.0776 (multiplicity 4)
Pt 0.1584 0.5000 0.6746 (multiplicity 4)



## NiBiAu (GGA-PBE)

Data for an optimized crystal structure of NiBiAu.

## Properties
DOS(E_F) = 2.218 states/eV per cell
distance to the lowest polymorph of the same formula = 140 meV per atom
formation enthalpy at 0 K = 0.1624 eV/atom
calculated volume = 20.807 Å³ per atom

Lattice parameters (Å, degrees): 3.9542 3.9542 4.6097 90.00 90.00 120.00
Space group P3m1 (No. 156)
Inequivalent atoms, fractional coordinates:
Ni 0.0000 0.0000 0.0000 (multiplicity 1)
Bi 0.3333 0.6667 0.6984 (multiplicity 1)
Au 0.6667 0.3333 0.2596 (multiplicity 1)



## PuThSn2 (GGA-PBE)

Data for an optimized crystal structure of PuThSn2.

## Properties
DOS(E_F) = 27.747 states/eV per cell
distance to the lowest polymorph of the same formula = 198 meV per atom
formation enthalpy at 0 K = -0.2469 eV/atom
calculated volume = 28.378 Å³ per atom

Lattice parameters (Å, degrees): 3.4988 3.4988 32.1207 90.00 90.00 120.00
Space group R-3m (No. 166, hexagonal axes)
Inequivalent atoms, fractional coordinates:
Pu 0.0000 0.0000 0.0000 (multiplicity 3)
Th 0.0000 0.0000 0.5000 (multiplicity 3)
Sn 0.0000 0.0000 0.2515 (multiplicity 6)



## LiCo2Ir (GGA-PBE)

Data for an optimized crystal structure of LiCo2Ir.

## Properties
DOS(E_F) = 11.134 states/eV per cell
formation enthalpy at 0 K = 0.1064 eV/atom
calculated volume = 11.506 Å³ per atom

Lattice parameters (Å, degrees): 3.5943 3.5943 7.1247 90.00 90.00 90.00
Space group I4/mmm (No. 139)
Inequivalent atoms, fractional coordinates:
Li 0.0000 0.0000 0.0000 (multiplicity 2)
Co 0.0000 0.5000 0.2500 (multiplicity 4)
Ir 0.0000 0.0000 0.5000 (multiplicity 2)



## Zr2ZnGe (GGA-PBE)

Data for an optimized crystal structure of Zr2ZnGe.

## Properties
DOS(E_F) = 5.527 states/eV per cell
formation enthalpy at 0 K = -0.5900 eV/atom
calculated volume = 19.149 Å³ per atom

Lattice parameters (Å, degrees): 5.4771 3.8291 7.7848 90.00 110.23 90.00
Space group P2_1/m (No. 11)
Inequivalent atoms, fractional coordinates:
Zr 0.2111 0.2500 0.4249 (multiplicity 2)
Zr 0.2783 0.7500 0.0707 (multiplicity 2)
Zn 0.3758 0.7500 0.7087 (multiplicity 2)
Ge 0.1341 0.2500 0.7912 (multiplicity 2)



## BiBr3Cl (GGA-PBE)

Data for an optimized crystal structure of BiBr3Cl.

## Properties
DOS(E_F) = 0.000 states/eV per cell
distance to the lowest polymorph of the same formula = 0 meV per atom
calculated volume = 40.705 Å³ per atom

Lattice parameters (Å, degrees): 12.9525 8.5760 8.3482 90.00 118.61 90.00
Space group C2/m (No. 12)
Inequivalent atoms, fractional coordinates:
Bi 0.2305 0.0000 0.4890 (multiplicity 4)
Br 0.0315 0.5000 0.8909 (multiplicity 4)
Br 0.1931 0.2769 0.6809 (multiplicity 8)
Cl 0.0240 0.0000 0.2470 (multiplicity 4)



## DyHo2In (GGA-PBE)

Data for an optimized crystal structure of DyHo2In.

## Properties
DOS(E_F) = 4.242 states/eV per cell
distance to the lowest polymorph of the same formula = 34 meV per atom
formation enthalpy at 0 K = -0.2311 eV/atom
calculated volume = 29.131 Å³ per atom

Lattice parameters (Å, degrees): 3.5668 3.5668 9.1592 90.00 90.00 90.00
Space group P4/mmm (No. 123)
Inequivalent atoms, fractional coordinates:
Dy 0.0000 0.0000 0.0000 (multiplicity 1)
Ho 0.5000 0.5000 0.2724 (multiplicity 2)
In 0.0000 0.0000 0.5000 (multiplicity 1)



## TiAl2Tc (GGA-PBE)

Data for an optimized crystal structure of TiAl2Tc.

## Properties
DOS(E_F) = 2.425 states/eV per cell
distance to the lowest polymorph of the same formula = 64 meV per atom
formation enthalpy at 0 K = -0.3361 eV/atom
calculated volume = 15.140 Å³ per atom

Lattice parameters (Å, degrees): 3.2649 3.2649 5.6815 90.00 90.00 90.00
Space group P4/mmm (No. 123)
Inequivalent atoms, fractional coordinates:
Ti 0.0000 0.0000 0.0000 (multiplicity 1)
Al 0.5000 0.5000 0.2681 (multiplicity 2)
Tc 0.0000 0.0000 0.5000 (multiplicity 1)



## Np2Ga3Pt5 (GGA-PBE)

Data for an optimized crystal structure of Np2Ga3Pt5.

## Properties
DOS(E_F) = 80.650 states/eV per cell
distance to the lowest polymorph of the same formula = 0 meV per atom
formation enthalpy at 0 K = -0.5995 eV/atom
calculated volume = 18.655 Å³ per atom

Lattice parameters (Å, degrees): 11.1376 11.7083 5.7222 90.00 90.00 90.00
Space group Ibam (No. 72)
Inequivalent atoms, fractional coordinates:
Np 0.1299 0.2344 0.0000 (multiplicity 8)
Ga 0.0000 0.5000 0.2500 (multiplicity 4)
Ga 0.1349 0.1202 0.5000 (multiplicity 8)
Pt 0.0000 0.0000 0.2500 (multiplicity 4)
Pt 0.1048 0.3284 0.5000 (multiplicity 8)
Pt 0.2291 0.5000 0.2500 (multiplicity 8)



## Bi4S3N2 (GGA-PBE)

Data for an optimized crystal structure of Bi4S3N2.

## Properties
distance to the lowest polymorph of the same formula = 89 meV per atom
calculated volume = 23.276 Å³ per atom

Lattice parameters (Å, degrees): 6.8648 15.3617 3.9730 90.00 90.00 90.00
Space group Pnnm (No. 58)
Inequivalent atoms, fractional coordinates:
Bi 0.2137 0.0684 0.0000 (multiplicity 4)
Bi 0.2261 0.8495 0.5000 (multiplicity 4)
S 0.0000 0.5000 0.0000 (multiplicity 2)
S 0.1474 0.2084 0.5000 (multiplicity 4)
N 0.1218 0.9238 0.0000 (multiplicity 4)



## MnCoNi2 (GGA-PBE)

Data for an optimized crystal structure of MnCoNi2.

## Properties
DOS(E_F) = 15.995 states/eV per cell
formation enthalpy at 0 K = 0.0635 eV/atom
calculated volume = 11.068 Å³ per atom

Lattice parameters (Å, degrees): 2.4898 2.4898 24.7404 90.00 90.00 120.00
Space group R-3m (No. 166, hexagonal axes)
Inequivalent atoms, fractional coordinates:
Mn 0.0000 0.0000 0.0000 (multiplicity 3)
Co 0.0000 0.0000 0.5000 (multiplicity 3)
Ni 0.0000 0.0000 0.2494 (multiplicity 6)



## RbMgI2 (GGA-PBE)

Data for an optimized crystal structure of RbMgI2.

## Properties
DOS(E_F) = 5.610 states/eV per cell
distance to the lowest polymorph of the same formula = 94 meV per atom
calculated volume = 47.939 Å³ per atom

Lattice parameters (Å, degrees): 4.3848 4.3848 34.5495 90.00 90.00 120.00
Space group R-3m (No. 166, hexagonal axes)
Inequivalent atoms, fractional coordinates:
Rb 0.0000 0.0000 0.0000 (multiplicity 3)
Mg 0.0000 0.0000 0.5000 (multiplicity 3)
I 0.0000 0.0000 0.1194 (multiplicity 6)



## SnBiI (GGA-PBE)

Data for an optimized crystal structure of SnBiI.

## Properties
DOS(E_F) = 2.148 states/eV per cell
distance to the lowest polymorph of the same formula = 138 meV per atom
calculated volume = 37.792 Å³ per atom

Lattice parameters (Å, degrees): 4.5862 4.5862 6.2242 90.00 90.00 120.00
Space group P3m1 (No. 156)
Inequivalent atoms, fractional coordinates:
Sn 0.0000 0.0000 0.0000 (multiplicity 1)
Bi 0.3333 0.6667 0.7805 (multiplicity 1)
I 0.6667 0.3333 0.3695 (multiplicity 1)



## ZnSbW2S (GGA-PBE)

Data for an optimized crystal structure of ZnSbW2S.

## Properties
DOS(E_F) = 6.400 states/eV per cell
calculated volume = 18.646 Å³ per atom

Lattice parameters (Å, degrees): 4.5342 4.5342 4.5346 90.00 90.00 90.00
Space group P4/mmm (No. 123)
Inequivalent atoms, fractional coordinates:
Zn 0.0000 0.0000 0.0000 (multiplicity 1)
Sb 0.5000 0.5000 0.0000 (multiplicity 1)
W 0.0000 0.5000 0.5000 (multiplicity 2)
S 0.0000 0.0000 0.5000 (multiplicity 1)



## LuHgRhAu (GGA-PBE)

Data for an optimized crystal structure of LuHgRhAu.

## Properties
DOS(E_F) = 9.899 states/eV per cell
formation enthalpy at 0 K = -0.4948 eV/atom
calculated volume = 19.214 Å³ per atom

Lattice parameters (Å, degrees): 6.7491 6.7491 6.7491 90.00 90.00 90.00
Space group F-43m (No. 216)
Inequivalent atoms, fractional coordinates:
Lu 0.0000 0.0000 0.0000 (multiplicity 4)
Hg 0.0000 0.0000 0.5000 (multiplicity 4)
Rh 0.2500 0.2500 0.7500 (multiplicity 4)
Au 0.2500 0.2500 0.2500 (multiplicity 4)



## ReMoIr (GGA-PBE)

Data for an optimized crystal structure of ReMoIr.

## Properties
DOS(E_F) = 12.536 states/eV per cell
distance to the lowest polymorph of the same formula = 213 meV per atom
formation enthalpy at 0 K = 0.0318 eV/atom
calculated volume = 15.392 Å³ per atom

Lattice parameters (Å, degrees): 6.4741 2.7731 10.2879 90.00 90.00 90.00
Space group Pnma (No. 62)
Inequivalent atoms, fractional coordinates:
Re 0.1521 0.2500 0.0563 (multiplicity 4)
Mo 0.1213 0.2500 0.7856 (multiplicity 4)
Ir 0.0735 0.2500 0.3995 (multiplicity 4)



## Ni2AsPb2 (GGA-PBE)

Data for an optimized crystal structure of Ni2AsPb2.

## Properties
DOS(E_F) = 7.609 states/eV per cell
formation enthalpy at 0 K = 0.1607 eV/atom
calculated volume = 19.330 Å³ per atom

Lattice parameters (Å, degrees): 6.6963 6.6963 4.3109 90.00 90.00 90.00
Space group P4/mbm (No. 127)
Inequivalent atoms, fractional coordinates:
Ni 0.1423 0.3577 0.0000 (multiplicity 4)
As 0.0000 0.0000 0.0000 (multiplicity 2)
Pb 0.1687 0.6687 0.5000 (multiplicity 4)



## La3ZnRu2 (GGA-PBE)

Data for an optimized crystal structure of La3ZnRu2.

## Properties
DOS(E_F) = 7.136 states/eV per cell
formation enthalpy at 0 K = -0.2348 eV/atom
calculated volume = 23.958 Å³ per atom

Lattice parameters (Å, degrees): 4.1739 4.6508 14.8100 90.00 90.00 90.00
Space group Immm (No. 71)
Inequivalent atoms, fractional coordinates:
La 0.0000 0.0000 0.0000 (multiplicity 2)
La 0.0000 0.5000 0.1859 (multiplicity 4)
Zn 0.0000 0.0000 0.5000 (multiplicity 2)
Ru 0.0000 0.5000 0.3652 (multiplicity 4)



## Sc2ZnCuC (GGA-PBE)

Data for an optimized crystal structure of Sc2ZnCuC.

## Properties
DOS(E_F) = 1.782 states/eV per cell
distance to the lowest polymorph of the same formula = 73 meV per atom
formation enthalpy at 0 K = -0.1674 eV/atom
calculated volume = 15.981 Å³ per atom

Lattice parameters (Å, degrees): 4.5117 4.5117 3.9255 90.00 90.00 90.00
Space group P4/mmm (No. 123)
Inequivalent atoms, fractional coordinates:
Sc 0.0000 0.5000 0.0000 (multiplicity 2)
Zn 0.0000 0.0000 0.5000 (multiplicity 1)
Cu 0.5000 0.5000 0.5000 (multiplicity 1)
C 0.0000 0.0000 0.0000 (multiplicity 1)



## Pm6DyHo2Tm (GGA-PBE)

Data for an optimized crystal structure of Pm6DyHo2Tm.

## Properties
DOS(E_F) = 55.487 states/eV per cell
formation enthalpy at 0 K = 0.1171 eV/atom
calculated volume = 33.319 Å³ per atom

Lattice parameters (Å, degrees): 9.2018 15.2437 9.5774 90.00 97.22 90.00
Space group C2/c (No. 15)
Inequivalent atoms, fractional coordinates:
Pm 0.0594 0.1788 0.4456 (multiplicity 8)
Pm 0.0998 0.3908 0.6178 (multiplicity 8)
Pm 0.2126 0.2226 0.8122 (multiplicity 8)
Dy 0.0000 0.0269 0.7500 (multiplicity 4)
Ho 0.2489 0.4503 0.9541 (multiplicity 8)
Tm 0.0000 0.4114 0.2500 (multiplicity 4)



## Pm6InIr2Br3 (GGA-PBE)

Data for an optimized crystal structure of Pm6InIr2Br3.

## Properties
DOS(E_F) = 11.786 states/eV per cell
calculated volume = 30.396 Å³ per atom

Lattice parameters (Å, degrees): 20.2427 4.1222 9.1485 90.00 107.13 90.00
Space group C2/m (No. 12)
Inequivalent atoms, fractional coordinates:
Pm 0.0286 0.0000 0.2681 (multiplicity 4)
Pm 0.1636 0.5000 0.1321 (multiplicity 4)
Pm 0.1841 0.5000 0.5680 (multiplicity 4)
In 0.0000 0.5000 0.0000 (multiplicity 2)
Ir 0.1706 0.0000 0.3463 (multiplicity 4)
Br 0.0000 0.5000 0.5000 (multiplicity 2)
Br 0.1697 0.0000 0.8471 (multiplicity 4)



Summary of DFT total energy in eV/atom
-1.96 -6.54 -2.88 -4.42 -5.82 -4.15 -7.69 -6.14 -6.34 -2.74 -4.36 -6.77 -7.12 -4.86 -6.90 -2.14 -3.12 -6.07 -4.36 -10.68 -4.57 -6.00 -5.62 -4.56 -5.48
(order as listed above)